(1)
{
  "formula": "Cs2NiN",
  "functional": "GGA-PBE",
  "state": "optimized geometry",
  "lattice_angstrom": [[0.000, 3.783, 3.783], [3.783, 0.000, 3.783], [3.783, 3.783, 0.000]],
  "species": ["Ni", "N", "Cs", "Cs"],
  "fractional_positions": [[0.500, 0.500, 0.500], [0.000, 0.000, 0.000], [0.250, 0.250, 0.250], [0.750, 0.750, 0.750]],
  "e_form_raw_ev_per_atom": 1.549,
  "sg": "Fm-3m",
  "m_tot_mub_per_fu": 0.7,
  "energy_ha_per_atom": -0.088,
  "dos_at_fermi_per_ev_cell": 12.08
}

(2)
{
  "formula": "Dy2HfPt9",
  "functional": "GGA-PBE",
  "state": "optimized geometry",
  "lattice_angstrom": [[4.089, 0.000, 0.000], [0.000, 4.089, 0.000], [0.000, 0.000, 12.271]],
  "species": ["Pt", "Pt", "Dy", "Dy", "Pt", "Pt", "Hf", "Pt", "Pt", "Pt", "Pt", "Pt"],
  "fractional_positions": [[0.000, 0.500, 0.841], [0.000, 0.500, 0.500], [0.000, 0.000, 0.333], [0.000, 0.000, 0.667], [0.500, 0.000, 0.500], [0.500, 0.000, 0.159], [0.000, 0.000, 0.000], [0.500, 0.500, 0.329], [0.500, 0.500, 0.671], [0.500, 0.500, 0.000], [0.500, 0.000, 0.841], [0.000, 0.500, 0.159]],
  "sg": "P4/mmm",
  "m_tot_mub_per_fu": 0.0,
  "energy_ha_per_atom": -0.265,
  "dos_at_fermi_per_ev_cell": 7.97
}